Computed, not measured: crystalline Zr3Sb2As2Pd4 at its relaxed geometry at the PBE-GGA level of DFT.

The space group is I-42m (No. 121) and the conventional cell measures 6.3321, 6.3321 and 12.0183 Å, with angles of 90.00, 90.00 and 90.00 degrees. The asymmetric unit holds Zr at (0.0000, 0.0000, 0.0000), Zr at (0.0000, 0.5000, 0.2500), Sb at (0.0000, 0.0000, 0.2609), As at (0.0000, 0.5000, 0.0000) and Pd at (0.2444, 0.2444, 0.8772).

For the density, the calculation gives 7.5 g/cm³. The calculation puts the final energy at -0.47912 Ry per atom.